(1)
The following is a DFT calculation (PBE) of a relaxed structure of SiGeH.

Cell and atoms, written as extended XYZ:
```
6
Lattice="-1.581 1.866 0.818 -3.854 -2.986 -0.640 -1.301 -3.633 5.768" Properties=species:S:1:pos:R:3 pbc="T T T"
H -3.206 0.601 0.553
H -3.531 -5.354 5.395
Ge -2.483 -1.367 2.383
Ge -4.253 -3.385 3.564
Si -2.226 -2.243 4.876
Si -4.510 -2.509 1.071
```

Output
- DFT total energy: -4.13 eV/atom
- Space group: P-1 (2)

(2)
The following is a DFT calculation (PBE) of a relaxed structure of SiGe2H.

Cell and atoms, written as extended XYZ:
```
8
Lattice="4.646 0.000 0.000 0.000 4.646 0.000 2.323 2.323 6.171" Properties=species:S:1:pos:R:3 pbc="T T T"
Ge 1.569 3.484 1.543
Ge 3.077 1.161 1.543
Ge 3.484 3.892 4.628
Ge 5.807 5.400 4.628
H 2.323 2.323 0.000
H 2.323 4.646 3.085
Si 4.646 2.323 3.085
Si 0.000 0.000 0.000
```

Output
- DFT total energy: -4.02 eV/atom
- Space group: I-42d (122)
- E above lowest polymorph: 0.0 meV per atom

(3)
The following is a DFT calculation (PBE) of a relaxed structure of Si3GeH.

Cell and atoms, written as extended XYZ:
```
5
Lattice="4.088 0.000 0.000 0.000 4.088 0.000 0.000 0.000 4.088" Properties=species:S:1:pos:R:3 pbc="T T T"
Ge 2.044 2.044 2.044
Si 0.000 0.000 2.044
Si 2.044 0.000 0.000
Si 0.000 2.044 0.000
H 0.000 0.000 0.000
```

Output
- DFT total energy: -4.20 eV/atom
- Space group: Pm-3m (221)
- E above lowest polymorph: 0.0 meV per atom

(4)
The following is a DFT calculation (PBE) of a relaxed structure of Sm6Ge3H.

Cell and atoms, written as extended XYZ:
```
20
Lattice="6.371 0.000 -0.055 0.000 8.082 0.000 -0.006 0.000 9.968" Properties=species:S:1:pos:R:3 pbc="T T T"
Ge 0.481 5.000 2.463
Ge 5.885 3.082 7.449
Ge 2.702 0.959 2.493
Ge -0.003 0.000 4.984
Ge 3.186 4.041 -0.027
Ge 3.664 7.123 7.420
Sm 2.348 6.583 4.355
Sm 4.077 3.708 2.627
Sm 0.933 2.675 4.394
Sm 0.889 0.333 7.638
Sm 4.116 1.366 9.351
Sm 5.531 5.540 9.311
Sm 2.250 6.716 0.562
Sm 0.835 2.542 0.602
Sm 2.289 4.374 7.286
Sm 4.018 1.499 5.558
Sm 5.477 7.749 2.274
Sm 5.433 5.407 5.518
H 0.000 0.000 0.000
H 3.183 4.041 4.956
```

Output
- DFT total energy: -5.11 eV/atom
- Space group: P2_1/c (14)

(5)
The following is a DFT calculation (PBE) of a relaxed structure of Sm5Ge3H.

Cell and atoms, written as extended XYZ:
```
18
Lattice="7.122 0.000 -3.361 -1.586 6.943 -3.361 -0.189 -0.237 8.826" Properties=species:S:1:pos:R:3 pbc="T T T"
Sm 1.174 -0.035 5.544
Sm 2.874 2.098 -0.079
Sm 2.473 4.608 2.184
Sm 0.880 5.570 -1.192
Sm 4.467 1.137 3.297
Sm 0.000 0.000 0.000
Sm 6.168 3.269 -2.326
Sm -0.821 3.437 4.431
Sm 2.768 3.472 -3.361
Sm 4.173 6.741 -3.439
H 0.497 5.089 1.053
H 4.851 1.617 1.053
Ge 4.287 0.911 -2.562
Ge 1.290 1.617 2.733
Ge 0.349 2.561 -1.680
Ge 4.058 5.089 -0.628
Ge 1.249 6.032 -4.159
Ge 5.187 4.382 -5.041
```

Output
- DFT total energy: -5.28 eV/atom
- Space group: I4/mcm (140)

(6)
The following is a DFT calculation (PBE) of a relaxed structure of SmGeH.

Cell and atoms, written as extended XYZ:
```
6
Lattice="-1.442 3.778 -0.955 -0.077 -1.018 -3.912 -4.836 -3.855 1.098" Properties=species:S:1:pos:R:3 pbc="T T T"
Sm -5.167 -2.936 0.383
Sm -3.363 1.498 -2.896
Ge -4.997 -1.230 -2.154
Ge -3.532 -0.209 -0.359
H -1.553 -0.006 -2.540
H -2.141 2.423 -1.071
```

Output
- DFT total energy: -4.99 eV/atom
- Space group: P2_1/m (11)
- E above lowest polymorph: 0.0 meV per atom

(7)
The following is a DFT calculation (PBE) of a relaxed structure of Sm5Ge2H.

Cell and atoms, written as extended XYZ:
```
8
Lattice="-2.079 5.498 3.612 -4.133 -4.049 3.757 6.270 -1.363 -0.898" Properties=species:S:1:pos:R:3 pbc="T T T"
Ge -0.480 -2.345 3.276
Ge 0.547 2.429 3.203
Sm 4.710 -0.999 0.942
Sm 1.608 -0.275 4.623
Sm 3.672 1.747 2.746
Sm 2.646 -3.022 2.819
Sm -1.496 0.400 5.103
H 0.152 -0.031 0.133
```

Output
- DFT total energy: -4.86 eV/atom
- Space group: Fmm2 (42)

(8)
The following is a DFT calculation (PBE) of a relaxed structure of SmGeH.

Cell and atoms, written as extended XYZ:
```
12
Lattice="4.040 0.000 0.000 0.000 6.167 0.000 0.000 0.000 7.951" Properties=species:S:1:pos:R:3 pbc="T T T"
Sm 1.010 3.819 5.367
Sm 3.030 2.349 2.584
Sm 3.030 0.735 6.560
Sm 1.010 5.432 1.391
H 1.010 5.720 6.989
H 3.030 2.636 4.937
H 1.010 3.531 3.014
H 3.030 0.448 0.962
Ge 1.010 2.344 0.239
Ge 3.030 3.824 7.713
Ge 1.010 0.740 4.214
Ge 3.030 5.427 3.737
```

Output
- DFT total energy: -4.98 eV/atom
- Space group: Pnma (62)
- E above lowest polymorph: 12.0 meV per atom

(9)
The following is a DFT calculation (PBE) of a relaxed structure of Sm3GeH.

Cell and atoms, written as extended XYZ:
```
20
Lattice="6.349 0.000 0.000 0.000 6.672 -0.133 0.000 -1.099 10.907" Properties=species:S:1:pos:R:3 pbc="T T T"
Sm 0.454 5.848 3.595
Sm 5.895 -0.275 7.178
Sm 2.166 3.904 1.236
Sm 5.341 2.219 4.084
Sm 1.009 3.354 6.689
Sm 3.508 4.780 4.429
Sm 6.016 4.230 9.883
Sm 2.720 5.298 9.049
Sm 2.841 0.793 6.344
Sm 3.629 0.275 1.725
Sm 4.183 1.669 9.538
Sm 0.333 1.343 0.890
H 1.502 5.523 5.664
H 4.677 -0.500 10.563
H 1.672 6.072 0.211
H 4.847 0.050 5.109
Ge 1.133 1.480 9.144
Ge 5.217 4.092 1.629
Ge 2.042 2.030 3.691
Ge 4.308 3.543 7.083
```

Output
- DFT total energy: -4.86 eV/atom
- Space group: P2_1/c (14)
- E above lowest polymorph: 0.0 meV per atom

(10)
The following is a DFT calculation (PBE) of a relaxed structure of Sm6Ge2H.

Cell and atoms, written as extended XYZ:
```
18
Lattice="6.407 0.000 0.301 0.000 7.763 0.000 -0.375 0.000 9.434" Properties=species:S:1:pos:R:3 pbc="T T T"
Sm 3.816 1.431 5.412
Sm 3.969 3.647 2.567
Sm 2.063 4.116 7.168
Sm 0.800 2.451 0.544
Sm 5.232 5.312 9.190
Sm 3.667 1.512 9.120
Sm 5.381 5.393 5.482
Sm 0.651 2.370 4.252
Sm 0.578 0.234 7.133
Sm 5.454 7.529 2.602
Sm 2.365 6.251 0.615
Sm 2.216 6.332 4.323
Ge 5.643 2.955 7.325
Ge 3.405 6.837 7.277
Ge 2.627 0.926 2.458
Ge 0.389 4.808 2.410
H -0.188 0.000 4.717
H 3.204 3.881 0.151
```

Output
- DFT total energy: -5.02 eV/atom
- Space group: P2_1/c (14)

(11)
The following is a DFT calculation (PBE) of a relaxed structure of Sm12Ge3H5.

Cell and atoms, written as extended XYZ:
```
80
Lattice="13.497 0.000 0.000 -4.499 12.725 0.000 -4.499 -6.363 11.020" Properties=species:S:1:pos:R:3 pbc="T T T"
Sm 1.746 4.679 7.606
Sm -5.672 3.300 7.856
Sm 5.168 -1.803 9.951
Sm -0.001 4.062 4.484
Sm -1.746 -0.617 5.261
Sm -3.326 10.753 1.276
Sm -0.669 8.166 1.070
Sm -5.168 0.025 8.924
Sm 5.672 -1.091 6.580
Sm -0.503 1.066 2.346
Sm 6.079 6.388 2.096
Sm 2.753 1.683 3.414
Sm -2.753 7.429 8.675
Sm -4.500 5.033 10.771
Sm 10.171 3.062 3.165
Sm -1.173 7.453 4.440
Sm 4.500 2.301 6.537
Sm 2.250 8.663 4.484
Sm 8.999 1.329 0.249
Sm -3.996 5.746 5.759
Sm 8.998 -2.733 6.786
Sm -2.249 2.733 6.786
Sm 1.580 -1.828 9.994
Sm 3.423 5.272 4.440
Sm 7.825 -4.391 9.745
Sm -0.669 4.535 1.027
Sm -1.076 4.391 9.745
Sm -2.249 -5.033 10.771
Sm 2.919 8.191 1.027
Sm 0.503 8.046 7.606
Sm -1.076 -3.300 7.856
Sm 6.245 6.979 5.759
Sm 5.002 5.296 8.675
Sm -1.580 -0.025 8.924
Sm 9.667 6.338 2.096
Sm 2.919 4.560 1.070
Sm 6.748 11.396 0.249
Sm 5.575 1.972 1.276
Sm 1.580 1.803 9.951
Sm 2.249 -2.301 6.537
Sm -4.498 9.095 4.234
Sm 1.076 1.091 6.580
Sm 5.575 9.663 3.165
Sm 3.996 -1.683 3.414
Sm 5.168 1.828 9.994
Sm 8.495 0.617 5.261
Sm 7.252 -1.066 2.346
Sm 6.748 3.630 4.234
Ge 10.123 0.000 2.755
Ge 3.374 0.000 8.265
Ge -3.374 2.386 9.643
Ge 1.125 -0.795 4.133
Ge 5.624 0.795 4.133
Ge -1.125 5.567 6.888
Ge -3.374 -2.386 9.643
Ge 1.125 6.363 2.755
Ge 7.873 3.977 1.378
Ge -5.624 6.363 8.265
Ge 7.873 8.749 1.378
Ge 3.374 7.158 6.888
H 7.873 -0.795 6.888
H 5.624 -3.977 9.643
H -4.499 3.181 5.510
H -3.374 7.158 4.133
H 2.250 3.181 5.510
H 3.374 2.386 1.378
H -2.250 -3.181 5.510
H 3.374 9.544 2.755
H 6.749 0.000 0.000
H -1.125 10.339 1.378
H 0.000 0.000 0.000
H 1.125 -3.181 8.265
H 4.499 -3.181 5.510
H 5.624 5.567 4.133
H 1.125 3.977 9.643
H -1.125 0.795 6.888
H 5.624 3.181 8.265
H -1.125 3.181 2.755
H 4.499 6.363 0.000
H -2.250 6.363 0.000
```

Output
- DFT total energy: -4.75 eV/atom
- Space group: Ia-3d (230)

(12)
The following is a DFT calculation (PBE) of a relaxed structure of Sm3GeH.

Cell and atoms, written as extended XYZ:
```
5
Lattice="-1.507 -4.440 1.013 3.272 -1.798 -3.011 3.167 -0.255 3.594" Properties=species:S:1:pos:R:3 pbc="T T T"
Ge 2.466 -3.246 0.797
Sm 1.636 -0.899 -1.506
Sm 1.583 -0.128 1.797
Sm -0.754 -2.220 0.506
H 0.000 0.000 0.000
```

Output
- DFT total energy: -4.83 eV/atom
- Space group: Pm-3m (221)
- E above lowest polymorph: 27.1 meV per atom